VASP calculation (GGA-PBE) on TbNdRhAu after structural relaxation.

Cell and atoms, written as CIF:
```
data_TbNdRhAu
_chemical_formula_sum 'Tb1 Nd1 Rh1 Au1'
_cell_length_a 5.069
_cell_length_b 5.069
_cell_length_c 5.069
_cell_angle_alpha 60.00
_cell_angle_beta 60.00
_cell_angle_gamma 60.00
_space_group_name_H-M_alt 'P 1'
_space_group_IT_number 1
_space_group_name_Hall 'P 1'
loop_
_atom_site_label
_atom_site_type_symbol
_atom_site_fract_x
_atom_site_fract_y
_atom_site_fract_z
Nd1 Nd 0.750 0.750 0.750
Au1 Au 0.000 0.000 0.000
Rh1 Rh 0.500 0.500 0.500
Tb1 Tb 0.250 0.250 0.250
```

- Total DFT energy (no corrections): -5.7467 eV/atom
- M_tot: 0.000 μB per formula unit